(1)
This record from the Alexandria database describes crystalline La2Tb3ThTe6 at its relaxed geometry. The functional is GGA-PBE. Values from VASP.

```
&SYSTEM
  ibrav = 0, nat = 12, ntyp = 4
/
ATOMIC_SPECIES
Te 127.60 Te.upf
Tb 158.93 Tb.upf
Th 232.04 Th.upf
La 138.91 La.upf
ATOMIC_POSITIONS crystal
Te 0.005 0.745 0.011
Te 0.669 0.072 0.338
Te 0.335 0.410 0.670
Te 0.995 0.255 0.989
Te 0.331 0.928 0.662
Te 0.665 0.590 0.330
Tb 0.167 0.833 0.335
Tb 0.833 0.167 0.665
Tb 0.500 0.500 0.000
Th 0.500 0.000 0.000
La 0.163 0.326 0.326
La 0.837 0.674 0.674
CELL_PARAMETERS angstrom
4.416 0.000 0.000
0.000 8.997 0.162
-2.208 -2.759 9.400
```

Results
Final energy = -66.2 eV for the cell shown
ΔE_f (raw) = -1.3512 eV per atom

(2)
This record from the Alexandria database describes crystalline La2TbTl3Te6 at its relaxed geometry. The functional is GGA-PBE. Values from VASP.

```
&SYSTEM
  ibrav = 0, nat = 12, ntyp = 4
/
ATOMIC_SPECIES
Te 127.60 Te.upf
La 138.91 La.upf
Tl 204.38 Tl.upf
Tb 158.93 Tb.upf
ATOMIC_POSITIONS crystal
Te 0.396 0.073 0.218
Te 0.073 0.396 0.218
Te 0.249 0.249 0.779
Te 0.604 0.927 0.782
Te 0.927 0.604 0.782
Te 0.751 0.751 0.221
La 0.666 0.334 0.000
La 0.334 0.666 0.000
Tl 0.169 0.831 0.500
Tl 0.831 0.169 0.500
Tl 0.500 0.500 0.500
Tb 0.000 0.000 0.000
CELL_PARAMETERS angstrom
7.967 0.000 0.001
-3.982 6.901 0.001
-1.329 -2.300 8.155
```

Results
Final energy = -53.9 eV for the cell shown
ΔE_f (raw) = -1.1219 eV per atom

(3)
This record from the Alexandria database describes crystalline La2TbTmTe6 at its relaxed geometry. The functional is GGA-PBE. Values from VASP.

```
&SYSTEM
  ibrav = 0, nat = 10, ntyp = 4
/
ATOMIC_SPECIES
Te 127.60 Te.upf
La 138.91 La.upf
Tb 158.93 Tb.upf
Tm 168.93 Tm.upf
ATOMIC_POSITIONS crystal
Te 0.097 0.440 0.761
Te 0.205 0.944 0.258
Te 0.944 0.593 0.258
Te 0.702 0.097 0.761
Te 0.593 0.205 0.257
Te 0.440 0.702 0.761
La 0.518 0.518 0.447
La 0.017 0.017 0.948
Tb 0.822 0.822 0.534
Tm 0.323 0.323 0.032
CELL_PARAMETERS angstrom
7.936 0.000 0.000
3.968 6.873 0.000
3.967 2.291 7.020
```

Results
Final energy = -52.1 eV for the cell shown
ΔE_f (raw) = -1.4319 eV per atom

(4)
This record from the Alexandria database describes crystalline LaTb3Tm2Te6 at its relaxed geometry. The functional is GGA-PBE. Values from VASP.

```
&SYSTEM
  ibrav = 0, nat = 12, ntyp = 4
/
ATOMIC_SPECIES
Tm 168.93 Tm.upf
Te 127.60 Te.upf
Tb 158.93 Tb.upf
La 138.91 La.upf
ATOMIC_POSITIONS crystal
Tm 0.164 0.329 0.329
Tm 0.836 0.671 0.671
Te 0.004 0.263 0.008
Te 0.330 0.420 0.661
Te 0.670 0.580 0.339
Te 0.326 0.909 0.652
Te 0.996 0.737 0.992
Te 0.674 0.091 0.348
Tb 0.159 0.832 0.318
Tb 0.841 0.168 0.682
Tb 0.500 0.500 0.000
La 0.500 0.000 0.000
CELL_PARAMETERS angstrom
-0.265 -4.270 0.816
2.614 1.427 8.315
-9.368 2.843 0.209
```

Results
Final energy = -62.3 eV for the cell shown
ΔE_f (raw) = -1.3081 eV per atom

(5)
This record from the Alexandria database describes crystalline La3Tb2TmTe6 at its relaxed geometry. The functional is GGA-PBE. Values from VASP.

```
&SYSTEM
  ibrav = 0, nat = 12, ntyp = 4
/
ATOMIC_SPECIES
Tm 168.93 Tm.upf
Te 127.60 Te.upf
La 138.91 La.upf
Tb 158.93 Tb.upf
ATOMIC_POSITIONS crystal
Tm 0.500 0.000 0.000
Te 0.670 0.574 0.339
Te 0.330 0.426 0.661
Te 0.997 0.763 0.994
Te 0.339 0.910 0.679
Te 0.003 0.237 0.006
Te 0.661 0.090 0.321
La 0.500 0.500 0.000
La 0.831 0.167 0.663
La 0.169 0.833 0.337
Tb 0.168 0.335 0.336
Tb 0.832 0.665 0.664
CELL_PARAMETERS angstrom
4.426 0.000 0.000
0.000 9.011 0.234
-2.213 -2.688 9.396
```

Results
Final energy = -64.6 eV for the cell shown
ΔE_f (raw) = -1.4367 eV per atom

(6)
This record from the Alexandria database describes crystalline La3TbTm2Te6 at its relaxed geometry. The functional is GGA-PBE. Values from VASP.

```
&SYSTEM
  ibrav = 0, nat = 12, ntyp = 4
/
ATOMIC_SPECIES
Te 127.60 Te.upf
La 138.91 La.upf
Tb 158.93 Tb.upf
Tm 168.93 Tm.upf
ATOMIC_POSITIONS crystal
Te 0.664 0.096 0.329
Te 0.005 0.243 0.011
Te 0.672 0.571 0.344
Te 0.328 0.429 0.656
Te 0.995 0.757 0.989
Te 0.336 0.904 0.671
La 0.500 0.500 0.000
La 0.835 0.168 0.671
La 0.165 0.832 0.329
Tb 0.500 0.000 0.000
Tm 0.166 0.331 0.331
Tm 0.834 0.669 0.669
CELL_PARAMETERS angstrom
4.397 0.000 0.000
0.000 9.021 0.184
-2.199 -2.744 9.383
```

Results
Final energy = -64.2 eV for the cell shown
ΔE_f (raw) = -1.4152 eV per atom

> Which of these has the highest final energy?

La2TbTmTe6

What did the third record say?
This record from the Alexandria database describes crystalline La2TbTmTe6 at its relaxed geometry. The functional is GGA-PBE. Values from VASP.

```
&SYSTEM
  ibrav = 0, nat = 10, ntyp = 4
/
ATOMIC_SPECIES
Te 127.60 Te.upf
La 138.91 La.upf
Tb 158.93 Tb.upf
Tm 168.93 Tm.upf
ATOMIC_POSITIONS crystal
Te 0.097 0.440 0.761
Te 0.205 0.944 0.258
Te 0.944 0.593 0.258
Te 0.702 0.097 0.761
Te 0.593 0.205 0.257
Te 0.440 0.702 0.761
La 0.518 0.518 0.447
La 0.017 0.017 0.948
Tb 0.822 0.822 0.534
Tm 0.323 0.323 0.032
CELL_PARAMETERS angstrom
7.936 0.000 0.000
3.968 6.873 0.000
3.967 2.291 7.020
```

Results
Final energy = -52.1 eV for the cell shown
ΔE_f (raw) = -1.4319 eV per atom